Here is Na17In11Pb after structural relaxation from Alexandria via LeMat-Bulk. Energies are from PBE.

a b c (Å): 10.2201 10.2201 10.2796
angles (deg): 109.51 109.51 109.33
Fractional coordinates of all 29 atoms:
1 Na 0.0006 0.0006 0.3466
2 Na 0.6912 0.6912 0.2790
3 Na 0.6531 0.6531 0.6543
4 Na 0.4107 0.4107 0.7234
5 Na 0.0019 0.0019 0.0005
6 Na 0.3105 0.5904 0.9983
7 Na 0.4097 0.7218 0.4105
8 Na 0.9981 0.3108 0.5895
9 Na 0.0009 0.3464 0.0005
10 Na 0.2789 0.6898 0.6891
11 Na 0.5895 0.9998 0.3116
12 Na 0.9998 0.5895 0.3116
13 Na 0.6898 0.2789 0.6891
14 Na 0.3464 0.0009 0.0005
15 Na 0.3108 0.9981 0.5895
16 Na 0.7218 0.4097 0.4105
17 Na 0.5904 0.3105 0.9983
18 In 0.1816 0.1816 0.8067
19 In 0.6309 0.8157 0.0000
20 In 0.1844 0.3695 0.3740
21 In 0.8119 0.9969 0.6282
22 In 0.6310 0.0005 0.8149
23 In 0.8148 0.1851 0.1860
24 In 0.1851 0.8148 0.1860
25 In 0.0005 0.6310 0.8149
26 In 0.9969 0.8119 0.6282
27 In 0.3695 0.1844 0.3740
28 In 0.8157 0.6309 0.0000
29 Pb 0.3735 0.3735 0.1842

Properties
Calculated formation energy ... -3.562 eV per formula unit
SG ... Cm
Total magnetic moment ... 0.0 μB/f.u.
V ... 28.53 Å³/atom
Total energy ... -59.82 eV for the cell shown